(1)
Density functional theory data (GGA-PBE) for an optimized crystal structure of BeInFeNi.

```
BeInFeNi
1.0
0.000 2.914 2.914
2.914 0.000 2.914
2.914 2.914 0.000
Fe Be Ni In
1 1 1 1
Direct
0.750 0.750 0.750
0.500 0.500 0.500
0.000 0.000 0.000
0.250 0.250 0.250
```

Total moment = 2.72 μB per cell
SG = F-43m
V = 12.37 Å³ per atom
Energy relative to the lowest polymorph listed for this composition = 0.000 eV per atom

***

(2)
Density functional theory data (GGA-PBE) for an optimized crystal structure of Ag3Pb5O12.

```
Ag3Pb5O12
1.0
1.138 6.734 2.043
-5.935 -2.452 3.096
5.540 -4.042 1.946
O Pb Ag
12 5 3
Direct
0.693 0.830 0.523
0.477 0.307 0.170
0.170 0.863 0.693
0.523 0.693 0.830
0.307 0.830 0.137
0.863 0.693 0.170
0.307 0.170 0.477
0.830 0.137 0.307
0.830 0.523 0.693
0.137 0.307 0.830
0.693 0.170 0.863
0.170 0.477 0.307
0.000 0.000 0.500
0.500 0.500 0.500
0.000 0.500 0.000
0.500 0.000 0.000
0.000 0.000 0.000
0.500 0.000 0.500
0.500 0.500 0.000
0.000 0.500 0.500
```

SG = Im-3
VASP energy = -4.93 eV/atom
V = 13.94 Å³ per atom

***

(3)
Density functional theory data (GGA-PBE) for an optimized crystal structure of Dy2ErIn3NiAg2.

```
Dy2ErIn3NiAg2
1.0
-2.840 -1.259 2.264
5.185 -1.949 5.422
-3.129 7.092 0.017
Ag In Dy Ni Er
2 3 2 1 1
Direct
0.500 0.335 0.666
0.500 0.666 0.335
0.500 0.000 0.751
0.500 0.751 0.000
0.500 0.249 0.249
0.000 0.000 0.399
0.000 0.399 0.000
0.000 0.999 0.999
0.000 0.602 0.602
```

Total moment = 0.00 μB per cell
SG = Amm2
VASP energy = -4.15 eV/atom
V = 22.25 Å³ per atom